LuTh2H | PBE | relaxed

Lattice parameters (Å, degrees): 3.417 3.417 9.936 80.10 80.10 60.00
Sites, in units of the cell vectors:
Th 0.888 0.888 0.335
Th 0.112 0.112 0.665
Lu 0.000 0.000 0.000
H 0.500 0.500 0.500

Properties
Energy relative to the lowest polymorph listed for this composition (kJ per mole of atoms): 0.0
Space group: R-3m (166)

***

Nd4AsAuS2 | PBE | relaxed

Lattice parameters (Å, degrees): 4.153 7.314 7.228 71.11 90.00 90.00
Sites, in units of the cell vectors:
Nd 0.000 0.240 0.246
Nd 0.500 0.234 0.761
Nd 0.500 0.766 0.239
Nd 0.000 0.760 0.754
S 0.500 0.000 0.500
S 0.000 0.000 0.000
As 0.500 0.500 0.000
Au 0.000 0.500 0.500

Properties
Uncorrected formation energy (meV per atom): -1553
Space group: P2/m (10)

***

SrEu3Hg | PBE | relaxed

Lattice parameters (Å, degrees): 6.177 6.177 6.177 90.00 90.00 90.00
Sites, in units of the cell vectors:
Sr 0.500 0.500 0.500
Eu 0.500 0.000 0.000
Eu 0.000 0.000 0.500
Eu 0.000 0.500 0.000
Hg 0.000 0.000 0.000

Properties
Formation energy from the elements (eV/atom): -0.0995
Space group: Pm-3m (221)